{
  "formula": "CrGaIr",
  "functional": "GGA-PBE",
  "state": "relaxed",
  "cell": [[-1.384, 1.384, 5.343], [1.384, -1.384, 5.343], [1.384, 1.384, -5.343]],
  "species": ["Cr", "Ga", "Ir"],
  "frac_coords": [[0.000, 0.000, 0.000], [0.332, 0.332, 0.000], [0.654, 0.654, 0.000]],
  "spacegroup": "I4mm (107)",
  "final_energy_ev_per_cell": -22.12,
  "vol_a3_per_atom": 13.6,
  "dos_ef_per_ev_cell": 2.10
}